Sm2HoCo: optimized geometry, GGA-PBE.

Formation energy: -92 meV/atom
D(E_F): 1.314 states/eV per atom
Crystal system: orthorhombic
Relative energy among the computed polymorphs: 2.5 kJ per mole of atoms

Unit cell a=6.2102 b=6.2102 c=9.6641 alpha=90.00 beta=90.00 gamma=145.10
Element x y z (fractional)
Sm (0.1377, 0.8623, 0.5724)
Sm (0.1377, 0.8623, 0.9276)
Sm (0.8623, 0.1377, 0.0724)
Sm (0.8623, 0.1377, 0.4276)
Ho (0.4104, 0.5896, 0.7500)
Ho (0.5896, 0.4104, 0.2500)
Co (0.2602, 0.7398, 0.2500)
Co (0.7398, 0.2602, 0.7500)